LiCaPt2N GGA-PBE relaxed; formation energy (no corrections) = -188.1 meV/atom; DFT total energy = -5.05 eV per atom
1.0
4.217 0.000 0.000
0.000 4.217 0.000
0.000 0.000 4.572
Li Ca Pt N
1 1 2 1
Direct
0.000 0.000 0.000
0.500 0.500 0.000
0.000 0.500 0.500
0.500 0.000 0.500
0.500 0.500 0.500